Crystalline LaYTm5 at its relaxed geometry. Source: the Alexandria database, functional PBE-GGA.

Relative energy among the computed polymorphs, meV per atom: 0.0
DOS at the Fermi energy, states/eV per cell: 22.33
Magnetic moment, μB per formula unit: 0.00
Energy of formation from the pure elements, meV/atom: 179

Unit cell a=7.0556 b=8.7997 c=8.7997 alpha=80.09 beta=66.33 gamma=66.33
Closest atoms and distances in Å follow each position.
Atoms (fractional coordinates):
La 0.0000 0.0000 0.0000  2 La 3.53, 6 Tm 3.69-3.75, 2 Y 3.78
La 0.5000 0.0000 0.0000  2 La 3.53, 6 Tm 3.69-3.75, 2 Y 3.78
Y 0.7500 0.2952 0.7048  8 Tm 3.41-3.53, 2 La 3.78
Y 0.2500 0.7048 0.2952  8 Tm 3.41-3.53, 2 La 3.78
Tm 0.4673 0.2818 0.2833  7 Tm 3.35-3.53, 1 Y 3.41, 2 La 3.69
Tm 0.7503 0.5000 0.0000  8 Tm 3.35-3.53, 2 Y 3.41
Tm 0.9673 0.2833 0.2818  7 Tm 3.35-3.53, 1 Y 3.41, 2 La 3.69
Tm 0.7500 0.7075 0.2925  6 Tm 3.40-3.42, 2 Y 3.53, 2 La 3.75
Tm 0.7497 0.0000 0.5000  8 Tm 3.35-3.53, 2 Y 3.41
Tm 0.2503 0.0000 0.5000  8 Tm 3.35-3.53, 2 Y 3.41
Tm 0.2500 0.2925 0.7075  6 Tm 3.40-3.42, 2 Y 3.53, 2 La 3.75
Tm 0.0327 0.7167 0.7182  7 Tm 3.35-3.53, 1 Y 3.41, 2 La 3.69
Tm 0.2497 0.5000 0.0000  8 Tm 3.35-3.53, 2 Y 3.41
Tm 0.5327 0.7182 0.7167  7 Tm 3.35-3.53, 1 Y 3.41, 2 La 3.69